1.
AlInIr2 after structural relaxation, computed with PBE.

M_tot ... 0.000 μB/cell
Formation enthalpy at 0 K ... -47.69 kJ/mol of atoms

Cell lengths 3.000, 3.010, 6.862 Å; angles 90.00, 90.00, 90.00 degrees
Sites, in units of the cell vectors:
Al (0.000, 0.000, 0.000)
In (0.000, 0.000, 0.500)
Ir (0.500, 0.500, 0.221)
Ir (0.500, 0.500, 0.779)

2.
Zr3Cd2Pd3 after structural relaxation, computed with PBE.

M_tot ... 0.000 μB/cell
Formation enthalpy at 0 K ... -45.07 kJ/mol of atoms

Cell lengths 8.119, 8.119, 5.493 Å; angles 90.00, 90.00, 120.00 degrees
Sites, in units of the cell vectors:
Zr (0.000, 0.252, 0.250)
Zr (0.000, 0.748, 0.750)
Zr (0.252, 0.000, 0.250)
Zr (0.252, 0.252, 0.750)
Zr (0.748, 0.000, 0.750)
Zr (0.748, 0.748, 0.250)
Cd (0.333, 0.667, 0.000)
Cd (0.333, 0.667, 0.500)
Cd (0.667, 0.333, 0.000)
Cd (0.667, 0.333, 0.500)
Pd (0.000, 0.387, 0.750)
Pd (0.000, 0.613, 0.250)
Pd (0.387, 0.000, 0.750)
Pd (0.387, 0.387, 0.250)
Pd (0.613, 0.000, 0.250)
Pd (0.613, 0.613, 0.750)

3.
Mo2PtSe after structural relaxation, computed with PBE.

M_tot ... 0.000 μB/cell
Formation energy from raw total energies ... 0.0427 eV per atom

Cell lengths 2.960, 2.960, 7.648 Å; angles 90.00, 90.00, 90.00 degrees
Sites, in units of the cell vectors:
Mo (0.000, 0.000, 0.000)
Mo (0.500, 0.500, 0.260)
Pt (0.000, 0.000, 0.488)
Se (0.500, 0.500, 0.800)

4.
LuZnAgPb after structural relaxation, computed with PBE.

M_tot ... 0.000 μB/cell
Formation enthalpy at 0 K ... -13.03 kJ/mol of atoms

Cell lengths 5.005, 5.005, 5.005 Å; angles 60.00, 60.00, 60.00 degrees
Sites, in units of the cell vectors:
Lu (0.000, 0.000, 0.000)
Zn (0.750, 0.750, 0.750)
Ag (0.250, 0.250, 0.250)
Pb (0.500, 0.500, 0.500)

5.
TbHg2Pt after structural relaxation, computed with PBE.

M_tot ... 0.000 μB/cell
Formation enthalpy at 0 K ... 20.28 kJ/mol of atoms

Cell lengths 10.630, 10.630, 10.630 Å; angles 17.58, 17.58, 17.58 degrees
Sites, in units of the cell vectors:
Tb (0.000, 0.000, 0.000)
Hg (0.097, 0.097, 0.097)
Hg (0.903, 0.903, 0.903)
Pt (0.500, 0.500, 0.500)

6.
CaZnSnPd after structural relaxation, computed with PBE.

M_tot ... 0.000 μB/cell
Formation enthalpy at 0 K ... -45.72 kJ/mol of atoms

Cell lengths 4.856, 4.856, 4.856 Å; angles 60.00, 60.00, 60.00 degrees
Sites, in units of the cell vectors:
Ca (0.000, 0.000, 0.000)
Zn (0.750, 0.750, 0.750)
Sn (0.500, 0.500, 0.500)
Pd (0.250, 0.250, 0.250)

no.,volume (Å³/atom)
1,15.49
2,19.60
3,16.75
4,22.16
5,23.91
6,20.24